TbPm12Dy2: relaxed, PBE.

Computed properties:
As for the density of states at the Fermi level: 17.8 states/eV/f.u. For the energy of formation, the calculation gives 4.78 eV per formula unit. As for the space group: P4/nbm.

Unit cell a=6.522 b=6.522 c=25.417 alpha=90.00 beta=90.00 gamma=90.00
Fractional positions:
Tb: 0.250 0.750 0.000
Tb: 0.750 0.250 0.000
Pm: 0.066 0.566 0.115
Pm: 0.066 0.934 0.885
Pm: 0.082 0.582 0.438
Pm: 0.082 0.918 0.562
Pm: 0.250 0.250 0.216
Pm: 0.250 0.250 0.338
Pm: 0.250 0.250 0.662
Pm: 0.250 0.250 0.784
Pm: 0.418 0.582 0.562
Pm: 0.418 0.918 0.438
Pm: 0.434 0.566 0.885
Pm: 0.434 0.934 0.115
Pm: 0.566 0.066 0.885
Pm: 0.566 0.434 0.115
Pm: 0.582 0.082 0.562
Pm: 0.582 0.418 0.438
Pm: 0.750 0.750 0.216
Pm: 0.750 0.750 0.338
Pm: 0.750 0.750 0.662
Pm: 0.750 0.750 0.784
Pm: 0.918 0.082 0.438
Pm: 0.918 0.418 0.562
Pm: 0.934 0.066 0.115
Pm: 0.934 0.434 0.885
Dy: 0.250 0.750 0.273
Dy: 0.250 0.750 0.727
Dy: 0.750 0.250 0.273
Dy: 0.750 0.250 0.727